# Ho5ErIn | Alexandria via LeMat-Bulk | PBE-GGA | optimized geometry
data_Ho5ErIn
_space_group_name_H-M_alt 'I m m 2'
_space_group_IT_number 44
_space_group_name_Hall 'I 2 -2'
_cell_length_a 7.951
_cell_length_b 11.479
_cell_length_c 6.100
_cell_angle_alpha 90.00
_cell_angle_beta 90.00
_cell_angle_gamma 90.00
loop_
_atom_site_label
_atom_site_type_symbol
_atom_site_fract_x
_atom_site_fract_y
_atom_site_fract_z
_atom_site_occupancy
Ho1 Ho 0.000 0.000 0.000 1
Ho2 Ho 0.000 0.248 0.315 1
Ho3 Ho 0.184 0.500 0.210 1
Er1 Er 0.000 0.500 0.707 1
In1 In 0.000 0.000 0.477 1
# Spin magnetization: 0.000 μB per formula unit
# Electronic total energy: -25.032 eV/f.u.
# Theoretical density: 6.60 g/cm3